DFT (GGA-PBE) results for a geometry-optimized Ni2AsPb structure.

V in A^3/atom: 16.25
E_form in kcal/mol of atoms: 5.62

Geometry as POSCAR:
```
Ni2AsPb
1.0
3.145 -3.151 0.000
3.145 3.151 0.000
-0.015 0.000 3.280
Ni As Pb
2 1 1
Direct
0.000 0.500 0.000
0.500 0.000 0.000
0.000 0.000 0.500
0.500 0.500 0.500
```